KTlAg3: optimized geometry, PBE-GGA.

Cell: 5.8146 5.8146 5.8146 Å, 90.00 90.00 90.00°
Closest atoms and distances in Å follow each position.
Fractional positions:
Ag  0.5000  0.0000  0.0000  2 K 2.91
Ag  0.0000  0.5000  0.0000  2 K 2.91
Ag  0.0000  0.0000  0.5000  2 K 2.91
K  0.0000  0.0000  0.0000  6 Ag 2.91
Tl  0.5000  0.5000  0.5000  12 Ag 4.11

Results
E_tot ... -1.5173 eV/atom

***

KTlAg3: optimized geometry, PBE-GGA.

Cell: 5.4428 5.4428 5.4428 Å, 90.00 90.00 90.00°
Closest atoms and distances in Å follow each position.
Fractional positions:
Ag  0.0000  0.0000  0.5000  2 Tl 2.72
Ag  0.0000  0.5000  0.0000  2 Tl 2.72
Ag  0.5000  0.0000  0.0000  2 Tl 2.72
K  0.5000  0.5000  0.5000  12 Ag 3.85
Tl  0.0000  0.0000  0.0000  6 Ag 2.72

Results
E_tot ... -2.1493 eV/atom

***

K2Tl2Ag3: optimized geometry, PBE-GGA.

Cell: 4.8991 6.7352 7.8599 Å, 119.87 90.00 111.33°
Closest atoms and distances in Å follow each position.
Fractional positions:
K  0.8407  0.6814  0.2163  5 Ag 3.50-3.66, 4 Tl 3.62-3.91, 2 K 3.80
K  0.1593  0.3186  0.7837  5 Ag 3.50-3.66, 4 Tl 3.62-3.91, 2 K 3.80
Ag  0.5000  0.0000  0.0000  2 Ag 2.86, 4 Tl 3.11
Ag  0.4242  0.8483  0.5855  2 Ag 2.86, 3 Tl 3.02
Ag  0.5758  0.1517  0.4145  2 Ag 2.86, 3 Tl 3.02
Tl  0.1455  0.2910  0.2692  5 Ag 3.02-3.11
Tl  0.8545  0.7090  0.7308  5 Ag 3.02-3.11

Results
E_tot ... -2.2070 eV/atom

***

Number 1: ΔE_f 886 meV/atom. Number 2: ΔE_f 254 meV/atom. Number 3: ΔE_f 5 meV/atom.